The following is a DFT calculation (PBE) of crystalline TaAl2Ir at its relaxed geometry.

spin magnetization = 0.00 μB/atom
total energy = -7.44 eV/atom

Unit cell a=5.014 b=5.014 c=4.925 alpha=70.79 beta=70.79 gamma=33.05
Fractional coordinates of all 4 atoms:
Ir 0.250 0.250 0.250
Ta 0.750 0.750 0.750
Al 0.516 0.516 0.489
Al 0.984 0.984 0.011

The following is a DFT calculation (PBE) of crystalline Ta2AlIr at its relaxed geometry.

spin magnetization = 0.00 μB/atom
total energy = -9.47 eV/atom

Unit cell a=4.535 b=2.860 c=5.073 alpha=83.84 beta=90.00 gamma=90.00
Fractional coordinates of all 4 atoms:
Ta 0.000 0.032 0.967
Ta 0.500 0.208 0.287
Al 0.000 0.632 0.474
Ir 0.500 0.628 0.772

The following is a DFT calculation (PBE) of crystalline Ta2AlIr at its relaxed geometry.

spin magnetization = 0.00 μB/atom
total energy = -9.25 eV/atom

Unit cell a=9.279 b=9.279 c=9.279 alpha=18.02 beta=18.02 gamma=18.02
Fractional coordinates of all 4 atoms:
Ta 0.006 0.006 0.006
Ta 0.247 0.247 0.247
Al 0.494 0.494 0.494
Ir 0.753 0.753 0.753

The following is a DFT calculation (PBE) of crystalline TaAl2Ir at its relaxed geometry.

spin magnetization = 0.00 μB/atom
total energy = -7.34 eV/atom

Unit cell a=4.862 b=4.862 c=4.862 alpha=132.00 beta=132.00 gamma=70.23
Fractional coordinates of all 4 atoms:
Al 0.500 0.500 0.000
Al 0.000 0.000 0.000
Ir 0.250 0.750 0.500
Ta 0.750 0.250 0.500

The following is a DFT calculation (PBE) of crystalline TaAl2Ir at its relaxed geometry.

spin magnetization = 0.00 μB/atom
total energy = -7.65 eV/atom

Unit cell a=2.939 b=2.939 c=7.057 alpha=90.00 beta=90.00 gamma=90.00
Fractional coordinates of all 4 atoms:
Al 0.000 0.000 0.470
Al 0.000 0.000 0.030
Ir 0.500 0.500 0.250
Ta 0.500 0.500 0.750

The following is a DFT calculation (PBE) of crystalline TaAl2Ir at its relaxed geometry.

spin magnetization = 0.00 μB/atom
total energy = -7.37 eV/atom

Unit cell a=8.807 b=8.807 c=8.807 alpha=19.05 beta=19.05 gamma=19.05
Fractional coordinates of all 4 atoms:
Ta 0.750 0.750 0.750
Al 0.507 0.507 0.507
Al 0.993 0.993 0.993
Ir 0.250 0.250 0.250

The following is a DFT calculation (PBE) of crystalline TaAl2Ir at its relaxed geometry.

spin magnetization = 0.00 μB/atom
total energy = -7.50 eV/atom

Unit cell a=4.926 b=4.926 c=4.926 alpha=133.41 beta=133.41 gamma=68.01
Fractional coordinates of all 4 atoms:
Ir 0.500 0.500 0.000
Al 0.250 0.750 0.500
Al 0.000 0.000 0.000
Ta 0.750 0.250 0.500

The following is a DFT calculation (PBE) of crystalline TaAl2Ir at its relaxed geometry.

spin magnetization = 0.00 μB/atom
total energy = -7.54 eV/atom

Unit cell a=3.024 b=3.197 c=6.358 alpha=90.00 beta=90.00 gamma=90.00
Fractional coordinates of all 4 atoms:
Al 0.000 0.000 0.015
Al 0.500 0.500 0.262
Ta 0.500 0.500 0.755
Ir 0.000 0.000 0.469

The following is a DFT calculation (PBE) of crystalline TaAlIr2 at its relaxed geometry.

spin magnetization = 0.00 μB/atom
total energy = -8.93 eV/atom

Unit cell a=3.644 b=4.102 c=4.102 alpha=90.00 beta=90.00 gamma=90.00
Fractional coordinates of all 4 atoms:
Al 0.500 0.000 0.500
Ir 0.000 0.500 0.500
Ir 0.000 0.000 0.000
Ta 0.500 0.500 0.000

The following is a DFT calculation (PBE) of crystalline TaAlIr2 at its relaxed geometry.

spin magnetization = 0.00 μB/atom
total energy = -9.05 eV/atom

Unit cell a=2.874 b=3.625 c=5.843 alpha=90.00 beta=90.00 gamma=90.00
Fractional coordinates of all 4 atoms:
Ir 0.000 0.000 0.509
Ir 0.000 0.000 0.991
Al 0.500 0.500 0.750
Ta 0.500 0.500 0.250

The following is a DFT calculation (PBE) of crystalline TaAl4Ir5 at its relaxed geometry.

spin magnetization = 0.00 μB/atom
total energy = -8.02 eV/atom

Unit cell a=2.957 b=2.957 c=16.196 alpha=90.00 beta=90.00 gamma=90.00
Fractional coordinates of all 10 atoms:
Al 0.000 0.000 0.595
Al 0.000 0.000 0.405
Al 0.000 0.000 0.788
Al 0.000 0.000 0.212
Ir 0.500 0.500 0.880
Ir 0.500 0.500 0.311
Ir 0.500 0.500 0.500
Ir 0.500 0.500 0.689
Ir 0.500 0.500 0.120
Ta 0.000 0.000 0.000

The following is a DFT calculation (PBE) of crystalline Ta2AlIr at its relaxed geometry.

spin magnetization = 0.00 μB/atom
total energy = -9.29 eV/atom

Unit cell a=4.518 b=4.518 c=4.518 alpha=60.00 beta=60.00 gamma=60.00
Fractional coordinates of all 4 atoms:
Ta 0.000 0.000 0.000
Ta 0.250 0.250 0.250
Ir 0.750 0.750 0.750
Al 0.500 0.500 0.500

The following is a DFT calculation (PBE) of crystalline TaAl2Ir at its relaxed geometry.

spin magnetization = 0.00 μB/atom
total energy = -7.09 eV/atom

Unit cell a=7.112 b=7.112 c=5.705 alpha=51.44 beta=51.44 gamma=90.00
Fractional coordinates of all 8 atoms:
Al 0.875 0.909 0.750
Al 0.375 0.341 0.750
Al 0.091 0.625 0.250
Al 0.659 0.125 0.250
Ir 0.750 0.250 0.500
Ir 0.000 0.000 0.000
Ta 0.250 0.750 0.500
Ta 0.500 0.500 0.000

The following is a DFT calculation (PBE) of crystalline Ta2AlIr at its relaxed geometry.

spin magnetization = 0.00 μB/atom
total energy = -9.53 eV/atom

Unit cell a=2.892 b=2.892 c=7.814 alpha=90.00 beta=90.00 gamma=90.00
Fractional coordinates of all 4 atoms:
Ta 0.500 0.500 0.269
Ta 0.000 0.000 0.974
Al 0.000 0.000 0.527
Ir 0.500 0.500 0.730

The following is a DFT calculation (PBE) of crystalline TaAlIr2 at its relaxed geometry.

spin magnetization = 0.00 μB/atom
total energy = -8.79 eV/atom

Unit cell a=4.587 b=4.587 c=5.016 alpha=80.96 beta=80.96 gamma=36.42
Fractional coordinates of all 4 atoms:
Ir 0.504 0.504 0.490
Ir 0.996 0.996 0.010
Ta 0.750 0.750 0.750
Al 0.250 0.250 0.250

The following is a DFT calculation (PBE) of crystalline TaAlIr2 at its relaxed geometry.

spin magnetization = 0.00 μB/atom
total energy = -8.67 eV/atom

Unit cell a=2.873 b=2.873 c=7.439 alpha=90.00 beta=90.00 gamma=90.00
Fractional coordinates of all 4 atoms:
Ta 0.000 0.000 0.500
Al 0.500 0.500 0.775
Ir 0.000 0.000 0.982
Ir 0.500 0.500 0.244

The following is a DFT calculation (PBE) of crystalline TaAlIr3 at its relaxed geometry.

spin magnetization = 0.00 μB/atom
total energy = -7.04 eV/atom

Unit cell a=4.771 b=4.771 c=4.771 alpha=90.00 beta=90.00 gamma=90.00
Fractional coordinates of all 5 atoms:
Ta 0.000 0.000 0.000
Ir 0.000 0.500 0.000
Ir 0.000 0.000 0.500
Ir 0.500 0.000 0.000
Al 0.500 0.500 0.500

The following is a DFT calculation (PBE) of crystalline Ta2AlIr at its relaxed geometry.

spin magnetization = 0.00 μB/atom
total energy = -9.41 eV/atom

Unit cell a=5.221 b=5.221 c=5.221 alpha=136.81 beta=136.81 gamma=62.72
Fractional coordinates of all 4 atoms:
Ir 0.750 0.250 0.500
Al 0.500 0.500 0.000
Ta 0.250 0.750 0.500
Ta 0.000 0.000 0.000

The following is a DFT calculation (PBE) of crystalline Ta2AlIr at its relaxed geometry.

spin magnetization = 0.00 μB/atom
total energy = -9.44 eV/atom

Unit cell a=2.990 b=3.650 c=6.041 alpha=90.00 beta=90.00 gamma=90.00
Fractional coordinates of all 4 atoms:
Ta 0.500 0.500 0.259
Ta 0.000 0.000 0.992
Al 0.000 0.000 0.517
Ir 0.500 0.500 0.732

The following is a DFT calculation (PBE) of crystalline Ta2AlIr at its relaxed geometry.

spin magnetization = 0.00 μB/atom
total energy = -9.52 eV/atom

Unit cell a=4.068 b=2.879 c=6.269 alpha=62.72 beta=90.00 gamma=90.00
Fractional coordinates of all 4 atoms:
Ir 0.500 0.750 0.750
Al 0.500 0.250 0.250
Ta 0.000 0.500 0.502
Ta 0.000 0.000 0.998

The following is a DFT calculation (PBE) of crystalline Tb2TaAl2Ir5 at its relaxed geometry.

spin magnetization = 0.00 μB/atom
total energy = -8.08 eV/atom

Unit cell a=3.587 b=9.801 c=9.801 alpha=90.00 beta=90.00 gamma=90.00
Fractional coordinates of all 20 atoms:
Ta 0.000 0.500 0.500
Ta 0.000 0.000 0.000
Ir 0.500 0.434 0.296
Ir 0.500 0.204 0.066
Ir 0.500 0.000 0.500
Ir 0.500 0.296 0.566
Ir 0.500 0.704 0.434
Ir 0.500 0.066 0.796
Ir 0.500 0.796 0.934
Ir 0.500 0.500 0.000
Ir 0.500 0.934 0.204
Ir 0.500 0.566 0.704
Al 0.000 0.377 0.123
Al 0.000 0.877 0.377
Al 0.000 0.123 0.623
Al 0.000 0.623 0.877
Tb 0.000 0.674 0.174
Tb 0.000 0.326 0.826
Tb 0.000 0.826 0.674
Tb 0.000 0.174 0.326

The following is a DFT calculation (PBE) of crystalline TbTaAlIr2 at its relaxed geometry.

spin magnetization = 0.00 μB/atom
total energy = -8.37 eV/atom

Unit cell a=4.125 b=4.125 c=6.391 alpha=108.83 beta=108.83 gamma=90.00
Fractional coordinates of all 5 atoms:
Al 0.750 0.250 0.500
Ta 0.250 0.750 0.500
Ir 0.614 0.614 0.227
Ir 0.386 0.386 0.773
Tb 0.000 0.000 0.000

The following is a DFT calculation (PBE) of crystalline Ta2Al5VIr2 at its relaxed geometry.

spin magnetization = 0.09 μB/atom
total energy = -7.32 eV/atom

Unit cell a=4.014 b=8.941 c=8.941 alpha=90.00 beta=90.00 gamma=90.00
Last column: magnetic moment on the atom in μB.
Fractional coordinates of all 20 atoms:
Al 0.500 0.202 0.065  -0.01
Al 0.500 0.000 0.500  0.00
Al 0.500 0.565 0.702  -0.01
Al 0.500 0.500 0.000  0.00
Al 0.500 0.702 0.435  -0.01
Al 0.500 0.435 0.298  -0.01
Al 0.500 0.935 0.202  -0.01
Al 0.500 0.298 0.565  -0.01
Al 0.500 0.065 0.798  -0.01
Al 0.500 0.798 0.935  -0.01
Ta 0.000 0.327 0.827  -0.02
Ta 0.000 0.827 0.673  -0.02
Ta 0.000 0.173 0.327  -0.02
Ta 0.000 0.673 0.173  -0.02
V 0.000 0.000 0.000  0.92
V 0.000 0.500 0.500  0.92
Ir 0.000 0.625 0.875  0.00
Ir 0.000 0.125 0.625  0.00
Ir 0.000 0.875 0.375  0.00
Ir 0.000 0.375 0.125  0.00

The following is a DFT calculation (PBE) of crystalline TaAlIrW at its relaxed geometry.

spin magnetization = 0.00 μB/atom
total energy = -9.63 eV/atom

Unit cell a=4.466 b=4.466 c=4.466 alpha=60.00 beta=60.00 gamma=60.00
Fractional coordinates of all 4 atoms:
Ir 0.750 0.750 0.750
Al 0.500 0.500 0.500
W 0.250 0.250 0.250
Ta 0.000 0.000 0.000

The following is a DFT calculation (PBE) of crystalline YTaAlIr2 at its relaxed geometry.

spin magnetization = 0.00 μB/atom
total energy = -8.74 eV/atom

Unit cell a=4.124 b=4.124 c=6.388 alpha=108.83 beta=108.83 gamma=90.00
Fractional coordinates of all 5 atoms:
Ta 0.750 0.250 0.500
Al 0.250 0.750 0.500
Y 0.000 0.000 0.000
Ir 0.614 0.614 0.227
Ir 0.386 0.386 0.773

The following is a DFT calculation (PBE) of crystalline YTaAlIr2 at its relaxed geometry.

spin magnetization = 0.00 μB/atom
total energy = -6.98 eV/atom

Unit cell a=4.783 b=5.384 c=4.783 alpha=90.00 beta=90.00 gamma=90.00
Fractional coordinates of all 5 atoms:
Ir 0.500 0.000 0.000
Ir 0.000 0.000 0.500
Al 0.500 0.500 0.500
Ta 0.000 0.000 0.000
Y 0.000 0.500 0.000

The following is a DFT calculation (PBE) of crystalline Ta2AlZnIr at its relaxed geometry.

spin magnetization = 0.00 μB/atom
total energy = -6.65 eV/atom

Unit cell a=4.860 b=4.698 c=4.860 alpha=90.00 beta=90.00 gamma=90.00
Fractional coordinates of all 5 atoms:
Zn 0.000 0.500 0.000
Ta 0.500 0.000 0.000
Ta 0.000 0.000 0.500
Ir 0.000 0.000 0.000
Al 0.500 0.500 0.500

Results for V: 63.4; 65.4; 66.8; 62.2; 61.0; 63.6; 62.0; 61.5; 61.3; 60.9; 141.7; 65.2; 136.3; 65.3; 61.8; 61.4; 108.6; 65.8; 65.9; 65.3; 344.5; 96.8; 320.9; 63.0; 96.7; 123.2; 111.0 (in Å³ per cell, following the order of the records).